No. 1
! PBE LiPmScPb, optimized geometry; values from VASP
! **Spin magnetization**: 0.00 Bohr magnetons per cell
! **Electronic total energy**: -4.44 eV/atom
! **Fermi-level density of states**: 3.33 states/eV/cell
&SYSTEM
  ibrav = 0, nat = 4, ntyp = 4
/
ATOMIC_SPECIES
Li 6.94 Li.upf
Pm 145.00 Pm.upf
Sc 44.96 Sc.upf
Pb 207.20 Pb.upf
CELL_PARAMETERS angstrom
0.0000 3.6842 3.6842
3.6842 0.0000 3.6842
3.6842 3.6842 0.0000
ATOMIC_POSITIONS crystal
Li 0.0000 0.0000 0.0000
Pm 0.2500 0.2500 0.2500
Sc 0.7500 0.7500 0.7500
Pb 0.5000 0.5000 0.5000

=====

No. 2
! PBE LiPm2Pb3Se6, optimized geometry; values from VASP
! **Spin magnetization**: 0.00 Bohr magnetons per cell
! **Formation energy (no corrections)**: -1.0820 eV per atom
! **Fermi-level density of states**: 3.69 states/eV/cell
&SYSTEM
  ibrav = 0, nat = 12, ntyp = 4
/
ATOMIC_SPECIES
Li 6.94 Li.upf
Pm 145.00 Pm.upf
Pb 207.20 Pb.upf
Se 78.96 Se.upf
CELL_PARAMETERS angstrom
9.4029 -2.1736 0.0000
9.4029 2.1736 0.0000
-2.1317 0.0000 8.2683
ATOMIC_POSITIONS crystal
Li 0.0000 0.0000 0.0000
Pm 0.3365 0.3365 0.6715
Pm 0.6635 0.6635 0.3285
Pb 0.0000 0.0000 0.5000
Pb 0.3396 0.3396 0.1524
Pb 0.6604 0.6604 0.8476
Se 0.1655 0.1655 0.0913
Se 0.1712 0.1712 0.5742
Se 0.4952 0.4952 0.7621
Se 0.5048 0.5048 0.2379
Se 0.8288 0.8288 0.4258
Se 0.8345 0.8345 0.9087